The following is a GGA-PBE calculation of ZrMn2Mo after structural relaxation, from Alexandria.

Summary:
Symmetry ... Immm, No. 71
Offset from the most stable computed form ... 0.201 eV/atom
Calculated formation energy ... 0.20 eV per atom

Cell and atoms, written as POSCAR:
```
ZrMn2Mo
1.0
-1.613 2.275 4.133
1.613 -2.275 4.133
1.613 2.275 -4.133
Zr Mn Mo
1 2 1
direct
0.000 0.000 0.000
0.264 0.764 0.500
0.736 0.236 0.500
0.500 0.500 0.000
```

=====

The following is a GGA-PBE calculation of ZrMnMo2 after structural relaxation, from Alexandria.

Summary:
Symmetry ... P4/mmm, No. 123
Offset from the most stable computed form ... 0.186 eV/atom
Calculated formation energy ... 0.21 eV per atom

Cell and atoms, written as POSCAR:
```
ZrMnMo2
1.0
4.474 0.000 0.000
0.000 4.474 0.000
0.000 0.000 3.187
Zr Mn Mo
1 1 2
direct
0.000 0.000 0.000
0.500 0.500 0.000
0.000 0.500 0.500
0.500 0.000 0.500
```

=====

The following is a GGA-PBE calculation of ZrMnMo2 after structural relaxation, from Alexandria.

Summary:
Symmetry ... P2/m, No. 10
Offset from the most stable computed form ... 0.131 eV/atom
Calculated formation energy ... 0.15 eV per atom

Cell and atoms, written as POSCAR:
```
ZrMnMo2
1.0
2.856 0.000 0.000
0.000 4.440 0.000
-0.967 0.000 5.061
Zr Mn Mo
1 1 2
direct
0.000 0.000 0.000
0.500 0.000 0.500
0.261 0.500 0.741
0.739 0.500 0.259
```

=====

The following is a GGA-PBE calculation of ZrMn2Mo after structural relaxation, from Alexandria.

Summary:
Symmetry ... Imm2, No. 44
Offset from the most stable computed form ... 0.130 eV/atom
Calculated formation energy ... 0.13 eV per atom

Cell and atoms, written as POSCAR:
```
ZrMn2Mo
1.0
-1.548 2.206 4.466
1.548 -2.206 4.466
1.548 2.206 -4.466
Zr Mn Mo
1 2 1
direct
0.000 0.000 0.000
0.493 0.493 0.000
0.731 0.231 0.500
0.268 0.768 0.500
```

=====

The following is a GGA-PBE calculation of ZrMnMo2 after structural relaxation, from Alexandria.

Summary:
Symmetry ... C2/m, No. 12
Offset from the most stable computed form ... 0.133 eV/atom
Calculated formation energy ... 0.16 eV per atom

Cell and atoms, written as POSCAR:
```
ZrMnMo2
1.0
2.691 -4.491 0.000
2.691 4.491 0.000
-0.979 0.000 2.659
Zr Mn Mo
1 1 2
direct
0.000 0.000 0.000
0.500 0.500 0.000
0.000 0.500 0.500
0.500 0.000 0.500
```

=====

The following is a GGA-PBE calculation of ZrMnMo2 after structural relaxation, from Alexandria.

Summary:
Symmetry ... I4/mmm, No. 139
Offset from the most stable computed form ... 0.211 eV/atom
Calculated formation energy ... 0.24 eV per atom

Cell and atoms, written as POSCAR:
```
ZrMnMo2
1.0
-1.881 1.881 4.691
1.881 -1.881 4.691
1.881 1.881 -4.691
Zr Mn Mo
1 1 2
direct
0.000 0.000 0.000
0.500 0.500 0.000
0.250 0.750 0.500
0.750 0.250 0.500
```

=====

The following is a GGA-PBE calculation of ZrMn2Mo after structural relaxation, from Alexandria.

Summary:
Symmetry ... Cmmm, No. 65
Offset from the most stable computed form ... 0.239 eV/atom
Calculated formation energy ... 0.24 eV per atom

Cell and atoms, written as POSCAR:
```
ZrMn2Mo
1.0
1.620 -2.279 0.000
1.620 2.279 0.000
0.000 0.000 8.183
Zr Mn Mo
1 2 1
direct
0.000 0.000 0.000
0.500 0.500 0.267
0.500 0.500 0.733
0.000 0.000 0.500
```

=====

The following is a GGA-PBE calculation of Zr2MnMo2 after structural relaxation, from Alexandria.

Summary:
Symmetry ... P4/mbm, No. 127
Calculated formation energy ... 0.21 eV per atom

Cell and atoms, written as POSCAR:
```
Zr2MnMo2
1.0
6.323 0.000 0.000
0.000 6.323 0.000
0.000 0.000 4.573
Zr Mn Mo
4 2 4
direct
0.174 0.326 0.000
0.326 0.826 0.000
0.674 0.174 0.000
0.826 0.674 0.000
0.000 0.000 0.500
0.500 0.500 0.500
0.149 0.649 0.500
0.351 0.149 0.500
0.649 0.851 0.500
0.851 0.351 0.500
```

=====

The following is a GGA-PBE calculation of ZrMnMo2 after structural relaxation, from Alexandria.

Summary:
Symmetry ... I-42d, No. 122
Offset from the most stable computed form ... 0.481 eV/atom
Calculated formation energy ... 0.50 eV per atom

Cell and atoms, written as POSCAR:
```
ZrMnMo2
1.0
-3.614 3.614 2.638
3.614 -3.614 2.638
3.614 3.614 -2.638
Zr Mn Mo
2 2 4
direct
0.000 0.000 0.000
0.750 0.250 0.500
0.250 0.750 0.500
0.500 0.500 0.000
0.176 0.625 0.051
0.375 0.426 0.551
0.574 0.125 0.949
0.875 0.824 0.449
```

=====

The following is a GGA-PBE calculation of ZrMn3Mo after structural relaxation, from Alexandria.

Summary:
Symmetry ... Pm-3m, No. 221
Offset from the most stable computed form ... 0.730 eV/atom
Calculated formation energy ... 1.71 eV per atom

Cell and atoms, written as POSCAR:
```
ZrMn3Mo
1.0
4.658 0.000 0.000
0.000 4.658 0.000
0.000 0.000 4.658
Zr Mn Mo
1 3 1
direct
0.000 0.000 0.000
0.000 0.000 0.500
0.000 0.500 0.000
0.500 0.000 0.000
0.500 0.500 0.500
```

=====

The following is a GGA-PBE calculation of Zr3Mn8Mo after structural relaxation, from Alexandria.

Summary:
Symmetry ... R3m, No. 160
Calculated formation energy ... -0.12 eV per atom

Cell and atoms, written as POSCAR:
```
Zr3Mn8Mo
1.0
2.457 1.419 8.041
-2.457 1.419 8.041
0.000 -2.837 8.041
Zr Mn Mo
3 8 1
direct
0.000 0.000 0.000
0.126 0.126 0.126
0.623 0.623 0.623
0.061 0.061 0.559
0.061 0.559 0.061
0.066 0.563 0.563
0.312 0.312 0.312
0.559 0.061 0.061
0.563 0.066 0.563
0.563 0.563 0.066
0.813 0.813 0.813
0.500 0.500 0.500
```

=====

The following is a GGA-PBE calculation of ZrMnMo after structural relaxation, from Alexandria.

Summary:
Symmetry ... Fmm2, No. 42
Offset from the most stable computed form ... 0.334 eV/atom
Calculated formation energy ... 0.20 eV per atom

Cell and atoms, written as POSCAR:
```
ZrMnMo
1.0
0.000 2.339 6.326
1.659 0.000 6.326
1.659 2.339 0.000
Zr Mn Mo
1 1 1
direct
0.000 0.000 0.000
0.333 0.333 0.667
0.690 0.690 0.310
```

=====

The following is a GGA-PBE calculation of ZrMnMo after structural relaxation, from Alexandria.

Summary:
Symmetry ... I4mm, No. 107
Offset from the most stable computed form ... 0.178 eV/atom
Calculated formation energy ... 0.04 eV per atom

Cell and atoms, written as POSCAR:
```
ZrMnMo
1.0
-1.562 1.562 4.967
1.562 -1.562 4.967
1.562 1.562 -4.967
Zr Mn Mo
1 1 1
direct
0.000 0.000 0.000
0.673 0.673 0.000
0.310 0.310 0.000
```

=====

The following is a GGA-PBE calculation of ZrMnMo after structural relaxation, from Alexandria.

Summary:
Symmetry ... P3m1, No. 156
Offset from the most stable computed form ... 0.324 eV/atom
Calculated formation energy ... 0.19 eV per atom

Cell and atoms, written as POSCAR:
```
ZrMnMo
1.0
4.349 0.000 0.000
-2.174 3.766 0.000
0.000 0.000 2.951
Zr Mn Mo
1 1 1
direct
0.000 0.000 0.000
0.333 0.667 0.350
0.667 0.333 0.637
```

=====

The following is a GGA-PBE calculation of ZrMn2Mo after structural relaxation, from Alexandria.

Summary:
Symmetry ... P4/mmm, No. 123
Offset from the most stable computed form ... 0.037 eV/atom
Calculated formation energy ... 0.04 eV per atom

Cell and atoms, written as POSCAR:
```
ZrMn2Mo
1.0
4.359 0.000 0.000
0.000 4.359 0.000
0.000 0.000 3.079
Zr Mn Mo
1 2 1
direct
0.000 0.000 0.000
0.000 0.500 0.500
0.500 0.000 0.500
0.500 0.500 0.000
```

=====

The following is a GGA-PBE calculation of ZrMnMo after structural relaxation, from Alexandria.

Summary:
Symmetry ... F-43m, No. 216
Offset from the most stable computed form ... 1.355 eV/atom
Calculated formation energy ... 1.22 eV per atom

Cell and atoms, written as POSCAR:
```
ZrMnMo
1.0
0.000 3.121 3.121
3.121 0.000 3.121
3.121 3.121 0.000
Zr Mn Mo
1 1 1
direct
0.000 0.000 0.000
0.750 0.750 0.750
0.250 0.250 0.250
```

=====

The following is a GGA-PBE calculation of ZrMnMo2 after structural relaxation, from Alexandria.

Summary:
Symmetry ... Imm2, No. 44
Offset from the most stable computed form ... 0.089 eV/atom
Calculated formation energy ... 0.11 eV per atom

Cell and atoms, written as POSCAR:
```
ZrMnMo2
1.0
-1.589 2.281 4.421
1.589 -2.281 4.421
1.589 2.281 -4.421
Zr Mn Mo
1 1 2
direct
0.000 0.000 0.000
0.745 0.245 0.500
0.264 0.764 0.500
0.509 0.509 0.000
```

=====

The following is a GGA-PBE calculation of ZrMnMo2 after structural relaxation, from Alexandria.

Summary:
Symmetry ... P4/mmm, No. 123
Offset from the most stable computed form ... 0.127 eV/atom
Calculated formation energy ... 0.15 eV per atom

Cell and atoms, written as POSCAR:
```
ZrMnMo2
1.0
3.167 0.000 0.000
0.000 3.167 0.000
0.000 0.000 6.447
Zr Mn Mo
1 1 2
direct
0.000 0.000 0.000
0.000 0.000 0.500
0.500 0.500 0.278
0.500 0.500 0.722
```

=====

The following is a GGA-PBE calculation of ZrMnMo2 after structural relaxation, from Alexandria.

Summary:
Symmetry ... F-43m, No. 216
Offset from the most stable computed form ... 0.004 eV/atom
Calculated formation energy ... 0.03 eV per atom

Cell and atoms, written as POSCAR:
```
ZrMnMo2
1.0
0.000 3.169 3.169
3.169 0.000 3.169
3.169 3.169 0.000
Zr Mn Mo
1 1 2
direct
0.000 0.000 0.000
0.750 0.750 0.750
0.250 0.250 0.250
0.500 0.500 0.500
```

=====

The following is a GGA-PBE calculation of ZrMn2Mo after structural relaxation, from Alexandria.

Summary:
Symmetry ... P4mm, No. 99
Offset from the most stable computed form ... 0.148 eV/atom
Calculated formation energy ... 0.15 eV per atom

Cell and atoms, written as POSCAR:
```
ZrMn2Mo
1.0
3.020 0.000 0.000
0.000 3.020 0.000
0.000 0.000 6.857
Zr Mn Mo
1 2 1
direct
0.000 0.000 0.000
0.000 0.000 0.503
0.500 0.500 0.286
0.500 0.500 0.696
```

=====

The records above give, respectively, final energy values of -9.227; -9.635; -9.690; -9.298; -9.688; -9.610; -9.189; -9.379; -9.340; -7.669; -9.270; -9.321; -9.477; -9.330; -9.391; -8.300; -9.732; -9.694; -9.817; -9.280 eV/atom.